First-principles (PBE) data for NaPt3Rh4O12 after structural relaxation, as listed in the Alexandria database.

Summary:
Total moment ... 0.00 μB/f.u.
Raw formation energy ... -0.661 eV/atom
Calculated density ... 8.9 g cm⁻³

a b c (Å): 6.6355 6.6355 6.6355
angles (deg): 109.47 109.47 109.47
Atoms (fractional coordinates):
Na 0.0000 0.0000 0.0000
Pt 0.0000 0.5000 0.5000
Pt 0.5000 0.5000 0.0000
Pt 0.5000 0.0000 0.5000
Rh 0.5000 0.0000 0.0000
Rh 0.5000 0.5000 0.5000
Rh 0.0000 0.5000 0.0000
Rh 0.0000 0.0000 0.5000
O 0.3133 0.8242 0.1375
O 0.6867 0.1758 0.8625
O 0.6867 0.8242 0.5108
O 0.8625 0.6867 0.1758
O 0.8242 0.1375 0.3133
O 0.1758 0.4892 0.3133
O 0.4892 0.3133 0.1758
O 0.1758 0.8625 0.6867
O 0.3133 0.1758 0.4892
O 0.1375 0.3133 0.8242
O 0.8242 0.5108 0.6867
O 0.5108 0.6867 0.8242